Material: TlGeIN2
Method: DFT, PBE
State: relaxed

Computed properties:
* spin magnetization: 2.21 μB/f.u.
* symmetry: No. 123
* energy above the most stable polymorph in this dataset: 0.000 eV/atom
* E_tot: -3.775 eV per atom
* V: 21.93 Å³ per atom
* uncorrected formation energy: 1.26 eV per atom
* density of states at the Fermi level: 2.6 states/eV/cell

a = 4.2642 Å, b = 4.2642 Å, c = 6.0304 Å
α = 90.00°, β = 90.00°, γ = 90.00°
With the nearest neighbours (Å) after each atom.
Fractional positions:
Tl1 0.5000 0.5000 0.5000  4 I 3.02
Ge1 0.0000 0.0000 0.0000  4 N 2.13
I1 0.0000 0.0000 0.5000  2 Ge 3.02, 4 Tl 3.02
N1 0.0000 0.5000 0.0000  2 Ge 2.13
N2 0.5000 0.0000 0.0000  2 Ge 2.13

Material: AcHoAgIr
Method: DFT, PBE
State: relaxed

Computed properties:
* spin magnetization: 0.00 μB/f.u.
* symmetry: No. 216
* calculated formation energy: -0.4069 eV/atom
* E_tot: -5.507 eV per atom
* V: 24.73 Å³ per atom
* density of states at the Fermi level: 3.2 states/eV/cell

a = 5.1915 Å, b = 5.1915 Å, c = 5.1915 Å
α = 60.00°, β = 60.00°, γ = 60.00°
With the nearest neighbours (Å) after each atom.
Fractional positions:
Ir1 0.7500 0.7500 0.7500  4 Ac 3.18, 4 Ho 3.18
Ag1 0.2500 0.2500 0.2500  4 Ho 3.18, 4 Ac 3.18
Ac1 0.5000 0.5000 0.5000  4 Ag 3.18, 4 Ir 3.18
Ho1 0.0000 0.0000 0.0000  4 Ir 3.18, 4 Ag 3.18

Material: ReCl3
Method: DFT, PBE
State: relaxed

Computed properties:
* spin magnetization: 0.09 μB/f.u.
* symmetry: No. 62
* energy above the most stable polymorph in this dataset: 0.642 eV/atom
* E_tot: -4.528 eV per atom
* V: 24.77 Å³ per atom
* uncorrected formation energy: -0.03 eV per atom
* density of states at the Fermi level: 12.8 states/eV/cell

a = 5.4837 Å, b = 6.1465 Å, c = 11.7603 Å
α = 90.00°, β = 90.00°, γ = 90.00°
With the nearest neighbours (Å) after each atom.
Fractional positions:
Cl1 0.2002 0.3484 0.1200  2 Re 2.41-2.43
Cl2 0.7998 0.6516 0.6200  2 Re 2.41-2.43
Cl3 0.8217 0.9580 0.2500  2 Re 2.34-2.43
Cl4 0.1783 0.0420 0.7500  2 Re 2.34-2.43
Re1 0.0618 0.6251 0.2500  6 Cl 2.34-2.43
Cl5 0.3217 0.5420 0.7500  2 Re 2.34-2.43
Cl6 0.2002 0.3484 0.3800  2 Re 2.41-2.43
Cl7 0.2998 0.8484 0.1200  2 Re 2.41-2.43
Re2 0.9382 0.3749 0.7500  6 Cl 2.34-2.43
Re3 0.5618 0.8749 0.7500  6 Cl 2.34-2.43
Cl8 0.7998 0.6516 0.8800  2 Re 2.41-2.43
Cl9 0.6783 0.4580 0.2500  2 Re 2.34-2.43
Cl10 0.2998 0.8484 0.3800  2 Re 2.41-2.43
Cl11 0.7002 0.1516 0.6200  2 Re 2.41-2.43
Cl12 0.7002 0.1516 0.8800  2 Re 2.41-2.43
Re4 0.4382 0.1251 0.2500  6 Cl 2.34-2.43

Material: CsSmFeBr6
Method: DFT, PBE
State: relaxed

Computed properties:
* spin magnetization: 4.00 μB/f.u.
* symmetry: No. 5
* E_tot: -4.042 eV per atom
* V: 40.75 Å³ per atom
* uncorrected formation energy: -1.37 eV per atom
* density of states at the Fermi level: 7.0 states/eV/cell

a = 7.2096 Å, b = 7.2080 Å, c = 8.1493 Å
α = 90.13°, β = 90.07°, γ = 60.01°
With the nearest neighbours (Å) after each atom.
Fractional positions:
Br1 0.6370 0.3855 0.6937  1 Fe 2.66, 1 Sm 2.87
Cs1 0.9998 0.0001 0.0000  6 Br 3.68
Br2 0.3858 0.6360 0.3055  1 Fe 2.66, 1 Sm 2.87
Br3 0.9779 0.3884 0.3038  1 Fe 2.67, 1 Sm 2.87
Br4 0.9779 0.6338 0.6962  1 Fe 2.67, 1 Sm 2.87
Sm1 0.3325 0.3338 0.5000  6 Br 2.87
Br5 0.3858 0.9781 0.6945  1 Fe 2.66, 1 Sm 2.87
Fe1 0.6660 0.6670 0.5000  6 Br 2.66-2.67
Br6 0.6371 0.9774 0.3063  1 Fe 2.66, 1 Sm 2.87